[1]
GGA-PBE Tm2NiSn2Pt3, optimized geometry; total magnetic moment = 0.00 μB/cell; calculated total energy = -5.9965 eV per atom
1.0
-2.648 -3.051 -1.989
3.928 1.142 -1.883
4.059 -6.479 4.535
Ni Pt Sn Tm
1 3 2 2
Direct
0.000 0.000 0.916
0.333 0.667 0.082
0.333 0.667 0.408
0.000 0.000 0.604
0.667 0.333 0.503
0.667 0.333 0.989
0.000 0.000 0.246
0.333 0.667 0.752

***

[2]
GGA-PBE Zr2NiSn2Pt, optimized geometry; total magnetic moment = 0.01 μB/cell; calculated total energy = -6.9634 eV per atom
1.0
7.714 0.000 0.000
0.000 4.445 0.000
-2.529 0.000 14.525
Ni Pt Sn Zr
4 4 8 8
Direct
0.500 0.000 0.501
0.001 0.500 0.502
0.248 0.000 0.748
0.000 0.000 0.998
0.250 0.500 0.253
0.752 0.000 0.253
0.750 0.500 0.748
0.499 0.500 0.998
0.062 0.000 0.183
0.562 0.500 0.188
0.816 0.000 0.445
0.314 0.500 0.445
0.553 0.000 0.683
0.068 0.500 0.684
0.304 0.000 0.933
0.820 0.500 0.938
0.182 0.500 0.060
0.694 0.000 0.061
0.940 0.500 0.319
0.440 0.000 0.319
0.686 0.500 0.559
0.187 0.000 0.563
0.430 0.500 0.808
0.943 0.000 0.812

***

[3]
GGA-PBE TaNi2Pt2, optimized geometry; total magnetic moment = 0.00 μB/cell; formation energy = -0.1555 eV per atom
1.0
-2.442 2.217 -1.012
-1.172 0.187 3.240
5.698 3.599 0.016
Ni Pt Ta
2 2 1
Direct
0.750 0.250 0.500
0.250 0.750 0.500
0.604 0.604 0.208
0.396 0.396 0.792
0.000 0.000 0.000

***

[4]
GGA-PBE TaNiPt, optimized geometry; energy above the lowest structure with this stoichiometry = 0 meV per atom; total magnetic moment = 0.00 μB/cell; formation energy = -0.5733 eV per atom
1.0
4.643 0.000 0.000
0.000 2.339 4.109
0.000 -2.339 4.109
Ni Pt Ta
2 2 2
Direct
0.750 0.822 0.377
0.250 0.377 0.822
0.250 0.705 0.149
0.750 0.149 0.705
0.750 0.491 0.023
0.250 0.023 0.491

***

[5]
GGA-PBE Tb2Ni2Pt, optimized geometry; total magnetic moment = 0.00 μB/cell; formation energy = -0.6955 eV per atom
1.0
-2.166 2.640 4.029
2.166 -2.640 4.029
2.166 2.640 -4.029
Ni Pt Tb
2 1 2
Direct
0.725 0.500 0.225
0.275 0.500 0.775
0.000 0.000 0.000
0.704 0.204 0.500
0.296 0.796 0.500

***

[6]
GGA-PBE TbNiPt2, optimized geometry; total magnetic moment = 0.00 μB/cell; formation energy = -0.7624 eV per atom
1.0
2.003 -4.855 0.000
2.003 4.855 0.000
0.000 0.000 7.132
Ni Pt Tb
2 4 2
Direct
0.229 0.771 0.250
0.771 0.229 0.750
0.641 0.359 0.056
0.641 0.359 0.444
0.359 0.641 0.556
0.359 0.641 0.944
0.939 0.061 0.250
0.061 0.939 0.750

***

[7]
GGA-PBE Tb3Zn3NiPt2, optimized geometry; total magnetic moment = 0.00 μB/cell; formation energy = -0.8108 eV per atom
1.0
-2.939 6.468 -1.333
-3.284 -6.008 -2.315
-1.948 -0.206 3.298
Ni Pt Tb Zn
1 2 3 3
Direct
0.000 0.000 0.000
0.667 0.333 0.500
0.333 0.667 0.500
0.597 0.000 0.000
0.403 0.403 0.000
0.000 0.597 0.000
0.235 0.000 0.500
0.000 0.235 0.500
0.765 0.765 0.500

***

[8]
GGA-PBE Tb3Zn3Ni2Pt, optimized geometry; total magnetic moment = 0.00 μB/cell; formation energy = -0.6006 eV per atom
1.0
-0.558 -6.555 2.699
6.063 3.643 0.734
-1.281 1.468 3.300
Ni Pt Tb Zn
2 1 3 3
Direct
0.667 0.333 0.500
0.333 0.667 0.500
0.000 0.000 0.000
0.589 0.000 0.000
0.411 0.411 0.000
0.000 0.589 0.000
0.257 0.000 0.500
0.000 0.257 0.500
0.743 0.743 0.500

***

[9]
GGA-PBE TcNi2Pt2, optimized geometry; total magnetic moment = 5.01 μB/cell; formation energy = 0.5157 eV per atom
1.0
-1.856 1.856 5.534
1.856 -1.856 5.534
1.856 1.856 -5.534
Ni Pt Tc
2 2 1
Direct
0.403 0.403 0.000
0.597 0.597 0.000
0.750 0.250 0.500
0.250 0.750 0.500
0.000 0.000 0.000

***

[10]
GGA-PBE TlTcNiPt, optimized geometry; energy above the lowest structure with this stoichiometry = 0 meV per atom; total magnetic moment = 1.63 μB/cell
1.0
-0.062 -3.980 2.074
0.055 -0.195 4.484
-3.666 -1.309 2.234
Ni Pt Tc Tl
1 1 1 1
Direct
0.750 0.750 0.750
0.500 0.500 0.500
0.250 0.250 0.250
0.000 0.000 0.000

***

[11]
GGA-PBE Ni2Te2Pt, optimized geometry; total magnetic moment = 0.00 μB/cell; calculated total energy = -4.4401 eV per atom
1.0
-2.464 2.464 3.781
2.464 -2.464 3.781
2.464 2.464 -3.781
Ni Pt Te
2 1 2
Direct
0.350 0.350 0.000
0.650 0.650 0.000
0.000 0.000 0.000
0.750 0.250 0.500
0.250 0.750 0.500

***

[12]
GGA-PBE TlNi2Pt2, optimized geometry; total magnetic moment = 1.88 μB/cell; calculated total energy = -4.9069 eV per atom
1.0
-1.911 1.911 5.665
1.911 -1.911 5.665
1.911 1.911 -5.665
Ni Pt Tl
2 2 1
Direct
0.399 0.399 0.000
0.601 0.601 0.000
0.750 0.250 0.500
0.250 0.750 0.500
0.000 0.000 0.000